The following is a DFT calculation (GGA-PBE) of a relaxed PmTmAg crystal.

a b c (Å): 6.9497 6.9497 6.9497
angles (deg): 90.00 90.00 90.00
Space group F-43m (No. 216)
Inequivalent atoms, fractional coordinates:
1 Pm 0.0000 0.0000 0.0000 [4 per cell]
2 Tm 0.2500 0.2500 0.7500 [4 per cell]
3 Ag 0.0000 0.0000 0.5000 [4 per cell]

The calculation puts the total energy at -3.5601 eV per atom. Its energy of formation is 454.7 meV/atom.